Compound: La4Y2Pb3O2
Source: the Alexandria database
Functional: PBE
Structure: optimized geometry

Volume ... 626.6 Å³ per cell
Total moment ... 0.00 μB per formula unit
Total energy ... -6.2563 eV per atom
Formation energy without anion corrections ... -1.376 eV per atom
Crystal system ... tetragonal

Unit cell a=4.8892 b=4.8892 c=26.2147 alpha=90.00 beta=90.00 gamma=90.00
Closest atoms and distances in Å follow each position.
Space group I4/mmm (No. 139)
Symmetry-distinct sites (fractional):
La 0.0000 0.5000 0.0857 [8 per cell]  2 O 2.52
Y 0.0000 0.0000 0.1960 [4 per cell]  1 O 2.28
Pb 0.0000 0.0000 0.3175 [4 per cell]  5 Y 3.18-3.48, 4 La 3.52
Pb 0.0000 0.0000 0.5000 [2 per cell]  8 La 3.32
O 0.0000 0.0000 0.1089 [4 per cell]  1 Y 2.28, 4 La 2.52